A geometry-optimized SrTl2Os structure. Source: the Alexandria database, functional PBE.

a b c (Å): 4.5791 4.6116 4.6835
angles (deg): 90.00 90.00 90.00
Element x y z (fractional)
Sr 0.0000 0.0000 0.0000
Tl 0.0000 0.5000 0.5000
Tl 0.5000 0.0000 0.5000
Os 0.5000 0.5000 0.0000

## Properties
calculated formation energy = 653 meV/atom
total magnetization = 0.1985 μB/atom
E_tot = -3.758 eV per atom
space-group type = No. 47


A geometry-optimized MnHgS2 structure. Source: the Alexandria database, functional PBE.

a b c (Å): 8.7802 3.1153 12.3830
angles (deg): 90.00 90.00 90.00
Element x y z (fractional)
Mn 0.0317 0.2500 0.0838
Mn 0.4683 0.7500 0.5838
Mn 0.5317 0.2500 0.4162
Mn 0.9683 0.7500 0.9162
Hg 0.0384 0.2500 0.6099
Hg 0.4616 0.7500 0.1099
Hg 0.5384 0.2500 0.8901
Hg 0.9616 0.7500 0.3901
S 0.1489 0.7500 0.1859
S 0.1530 0.2500 0.9314
S 0.3470 0.7500 0.4314
S 0.3511 0.2500 0.6859
S 0.6489 0.7500 0.3141
S 0.6530 0.2500 0.5686
S 0.8470 0.7500 0.0686
S 0.8511 0.2500 0.8141

## Properties
total magnetization = 0.3608 μB/atom
E_tot = -4.744 eV per atom
space-group type = No. 62
polymorph energy (0 for the lowest one) = 99.0 meV/atom


A geometry-optimized Mn4CrNi structure. Source: the Alexandria database, functional PBE.

a b c (Å): 4.5825 4.5825 4.5825
angles (deg): 60.00 60.00 60.00
Element x y z (fractional)
Mn 0.1238 0.1238 0.1238
Mn 0.1238 0.1238 0.6285
Mn 0.1238 0.6285 0.1238
Mn 0.6285 0.1238 0.1238
Cr 0.5000 0.5000 0.5000
Ni 0.7500 0.7500 0.7500

## Properties
calculated formation energy = 173 meV/atom
total magnetization = 0.2632 μB/atom
E_tot = -8.507 eV per atom
space-group type = No. 216


A geometry-optimized Si2RhNO structure. Source: the Alexandria database, functional PBE.

a b c (Å): 2.8777 2.9600 7.3021
angles (deg): 90.00 90.00 90.00
Element x y z (fractional)
Si 0.0000 0.0000 0.0000
Si 0.0000 0.5000 0.3669
Rh 0.5000 0.5000 0.8450
N 0.0000 0.0000 0.2428
O 0.5000 0.5000 0.4902

## Properties
total magnetization = 0.0000 μB/atom
E_tot = -7.526 eV per atom
space-group type = No. 25
polymorph energy (0 for the lowest one) = 0.0 meV/atom


A geometry-optimized Pm2Er6Zn structure. Source: the Alexandria database, functional PBE.

a b c (Å): 9.6960 10.1522 5.3763
angles (deg): 90.00 90.00 90.00
Element x y z (fractional)
Pm 0.1897 0.2469 0.0000
Pm 0.3103 0.7469 0.5000
Pm 0.6897 0.2531 0.5000
Pm 0.8103 0.7531 0.0000
Er 0.0167 0.3145 0.5000
Er 0.1350 0.8966 0.0000
Er 0.1883 0.5719 0.0000
Er 0.3117 0.0719 0.5000
Er 0.3650 0.3966 0.5000
Er 0.4833 0.8145 0.0000
Er 0.5167 0.1855 0.0000
Er 0.6350 0.6034 0.5000
Er 0.6883 0.9281 0.5000
Er 0.8117 0.4281 0.0000
Er 0.8650 0.1034 0.0000
Er 0.9833 0.6855 0.5000
Zn 0.0000 0.0000 0.5000
Zn 0.5000 0.5000 0.0000

## Properties
calculated formation energy = 36 meV/atom
total magnetization = 0.0000 μB/atom
E_tot = -4.203 eV per atom
space-group type = No. 58


A geometry-optimized La2GaBi structure. Source: the Alexandria database, functional PBE.

a b c (Å): 8.3719 8.3719 8.3719
angles (deg): 30.83 30.83 30.83
Element x y z (fractional)
La 0.2493 0.2493 0.2493
La 0.7507 0.7507 0.7507
Ga 0.5000 0.5000 0.5000
Bi 0.0000 0.0000 0.0000

## Properties
calculated formation energy = -628 meV/atom
total magnetization = 0.0000 μB/atom
E_tot = -4.819 eV per atom
space-group type = No. 166
polymorph energy (0 for the lowest one) = 52.6 meV/atom


A geometry-optimized LiRuPb2 structure. Source: the Alexandria database, functional PBE.

a b c (Å): 5.6223 5.6223 5.6223
angles (deg): 137.33 137.33 61.93
Element x y z (fractional)
Li 0.0000 0.0000 0.0000
Ru 0.7500 0.2500 0.5000
Pb 0.2500 0.7500 0.5000
Pb 0.5000 0.5000 0.0000

## Properties
calculated formation energy = 248 meV/atom
total magnetization = 0.0001 μB/atom
E_tot = -4.404 eV per atom
space-group type = No. 119
polymorph energy (0 for the lowest one) = 140.5 meV/atom


A geometry-optimized LiSiPb2Se4 structure. Source: the Alexandria database, functional PBE.

a b c (Å): 8.1359 8.1359 8.1359
angles (deg): 120.33 118.53 91.00
Element x y z (fractional)
Li 0.0000 0.0000 0.0000
Li 0.5000 0.0000 0.5000
Si 0.5000 0.0000 0.0000
Si 0.5000 0.5000 0.5000
Pb 0.0000 0.0000 0.5000
Pb 0.0000 0.5000 0.0000
Pb 0.0000 0.5000 0.5000
Pb 0.5000 0.5000 0.0000
Se 0.2696 0.2366 0.0331
Se 0.2699 0.2487 0.4787
Se 0.2699 0.7912 0.0213
Se 0.2965 0.7634 0.5331
Se 0.7035 0.2366 0.4669
Se 0.7301 0.2088 0.9787
Se 0.7301 0.7513 0.5213
Se 0.7304 0.7634 0.9669

## Properties
total magnetization = 0.0000 μB/atom
E_tot = -4.057 eV per atom
space-group type = No. 74


A geometry-optimized Ac12CdPb7 structure. Source: the Alexandria database, functional PBE.

a b c (Å): 9.8798 9.8798 9.8798
angles (deg): 107.78 107.78 107.78
Element x y z (fractional)
Ac 0.1189 0.2902 0.8282
Ac 0.1604 0.4737 0.2554
Ac 0.1718 0.8811 0.7098
Ac 0.2554 0.1604 0.4737
Ac 0.2902 0.8282 0.1189
Ac 0.4737 0.2554 0.1604
Ac 0.5263 0.7446 0.8396
Ac 0.7098 0.1718 0.8811
Ac 0.7446 0.8396 0.5263
Ac 0.8282 0.1189 0.2902
Ac 0.8396 0.5263 0.7446
Ac 0.8811 0.7098 0.1718
Cd 0.5000 0.5000 0.5000
Pb 0.0000 0.0000 0.0000
Pb 0.1404 0.4837 0.6043
Pb 0.3957 0.8596 0.5163
Pb 0.4837 0.6043 0.1404
Pb 0.5163 0.3957 0.8596
Pb 0.6043 0.1404 0.4837
Pb 0.8596 0.5163 0.3957

## Properties
calculated formation energy = -317 meV/atom
total magnetization = 0.0002 μB/atom
E_tot = -4.126 eV per atom
space-group type = No. 148


A geometry-optimized Li4Zn5Ni structure. Source: the Alexandria database, functional PBE.

a b c (Å): 3.0250 3.0250 15.2943
angles (deg): 90.00 90.00 90.00
Element x y z (fractional)
Li 0.0000 0.0000 0.1023
Li 0.0000 0.0000 0.3098
Li 0.0000 0.0000 0.6902
Li 0.0000 0.0000 0.8977
Zn 0.5000 0.5000 0.0000
Zn 0.5000 0.5000 0.2054
Zn 0.5000 0.5000 0.4113
Zn 0.5000 0.5000 0.5887
Zn 0.5000 0.5000 0.7946
Ni 0.0000 0.0000 0.5000

## Properties
calculated formation energy = -166 meV/atom
total magnetization = 0.0000 μB/atom
E_tot = -2.147 eV per atom
space-group type = No. 123


A geometry-optimized NaWI2 structure. Source: the Alexandria database, functional PBE.

a b c (Å): 8.0004 8.0004 8.0004
angles (deg): 130.91 130.91 71.96
Element x y z (fractional)
Na 0.0000 0.0000 0.0000
Na 0.7500 0.2500 0.5000
W 0.2500 0.7500 0.5000
W 0.5000 0.5000 0.0000
I 0.1814 0.6250 0.0564
I 0.3750 0.4314 0.5564
I 0.5686 0.1250 0.9436
I 0.8750 0.8186 0.4436

## Properties
total magnetization = 0.0000 μB/atom
E_tot = -3.639 eV per atom
space-group type = No. 122
polymorph energy (0 for the lowest one) = 0.0 meV/atom


A geometry-optimized OsRhNO2 structure. Source: the Alexandria database, functional PBE.

a b c (Å): 3.9719 3.9719 3.7873
angles (deg): 90.00 90.00 90.00
Element x y z (fractional)
Os 0.0000 0.0000 0.0000
Rh 0.5000 0.5000 0.5000
N 0.5000 0.5000 0.0000
O 0.0000 0.5000 0.5000
O 0.5000 0.0000 0.5000

## Properties
total magnetization = 0.7013 μB/atom
E_tot = -6.138 eV per atom
space-group type = No. 123


A geometry-optimized Pm7Pr3Sm2 structure. Source: the Alexandria database, functional PBE.

a b c (Å): 5.9918 3.6492 19.2950
angles (deg): 90.00 93.06 90.00
Element x y z (fractional)
Pm 0.0000 0.0000 0.0000
Pm 0.1884 0.5000 0.1772
Pm 0.2570 0.5000 0.5364
Pm 0.3134 0.0000 0.8555
Pm 0.6866 0.0000 0.1445
Pm 0.7430 0.5000 0.4636
Pm 0.8116 0.5000 0.8228
Pr 0.2190 0.0000 0.3667
Pr 0.5000 0.5000 0.0000
Pr 0.7810 0.0000 0.6333
Sm 0.2904 0.5000 0.7054
Sm 0.7096 0.5000 0.2946

## Properties
calculated formation energy = 81 meV/atom
total magnetization = 0.0000 μB/atom
E_tot = -4.671 eV per atom
space-group type = No. 10
polymorph energy (0 for the lowest one) = 9.0 meV/atom


A geometry-optimized Cs8CdPt2 structure. Source: the Alexandria database, functional PBE.

a b c (Å): 11.7125 11.7125 6.8426
angles (deg): 103.67 103.67 78.33
Element x y z (fractional)
Cs 0.0848 0.6427 0.8425
Cs 0.1378 0.1378 0.6382
Cs 0.3540 0.3540 0.3122
Cs 0.3573 0.9152 0.1575
Cs 0.6427 0.0848 0.8425
Cs 0.6460 0.6460 0.6878
Cs 0.8622 0.8622 0.3618
Cs 0.9152 0.3573 0.1575
Cd 0.0000 0.0000 0.0000
Pt 0.1565 0.1565 0.1526
Pt 0.8435 0.8435 0.8474

## Properties
calculated formation energy = -26 meV/atom
total magnetization = 0.0000 μB/atom
E_tot = -1.828 eV per atom
space-group type = No. 12


A geometry-optimized HfTiTe structure. Source: the Alexandria database, functional PBE.

a b c (Å): 5.5560 4.2559 5.9477
angles (deg): 90.00 93.04 90.00
Element x y z (fractional)
Hf 0.1865 0.2500 0.4062
Hf 0.8135 0.7500 0.5938
Ti 0.0077 0.2500 0.9014
Ti 0.9923 0.7500 0.0986
Te 0.3294 0.7500 0.7576
Te 0.6706 0.2500 0.2424

## Properties
total magnetization = 0.0000 μB/atom
E_tot = -7.119 eV per atom
space-group type = No. 11
polymorph energy (0 for the lowest one) = 281.6 meV/atom


A geometry-optimized Rb6Na4Tl13 structure. Source: the Alexandria database, functional PBE.

a b c (Å): 10.2980 10.2980 10.2980
angles (deg): 109.47 109.47 109.47
Element x y z (fractional)
Rb 0.1715 0.5000 0.6715
Rb 0.3285 0.8285 0.5000
Rb 0.5000 0.3285 0.8285
Rb 0.5000 0.6715 0.1715
Rb 0.6715 0.1715 0.5000
Rb 0.8285 0.5000 0.3285
Na 0.0000 0.0000 0.5000
Na 0.0000 0.5000 0.0000
Na 0.5000 0.0000 0.0000
Na 0.5000 0.5000 0.5000
Tl 0.0000 0.0000 0.0000
Tl 0.0971 0.2391 0.8581
Tl 0.1419 0.3810 0.2391
Tl 0.1419 0.9029 0.7609
Tl 0.2391 0.1419 0.3810
Tl 0.2391 0.8581 0.0971
Tl 0.3810 0.2391 0.1419
Tl 0.6190 0.7609 0.8581
Tl 0.7609 0.1419 0.9029
Tl 0.7609 0.8581 0.6190
Tl 0.8581 0.0971 0.2391
Tl 0.8581 0.6190 0.7609
Tl 0.9029 0.7609 0.1419

## Properties
calculated formation energy = -129 meV/atom
total magnetization = 0.0000 μB/atom
E_tot = -1.948 eV per atom
space-group type = No. 204


A geometry-optimized Tm3TlPd2 structure. Source: the Alexandria database, functional PBE.

a b c (Å): 3.5154 3.5154 10.9975
angles (deg): 90.00 90.00 90.00
Element x y z (fractional)
Tm 0.0000 0.0000 0.0000
Tm 0.0000 0.0000 0.3085
Tm 0.0000 0.0000 0.6915
Tl 0.5000 0.5000 0.5000
Pd 0.5000 0.5000 0.1597
Pd 0.5000 0.5000 0.8403

## Properties
calculated formation energy = -739 meV/atom
total magnetization = 0.0000 μB/atom
E_tot = -5.100 eV per atom
space-group type = No. 123


A geometry-optimized La3Pr12Al structure. Source: the Alexandria database, functional PBE.

a b c (Å): 5.1478 5.1478 21.0112
angles (deg): 90.00 90.00 90.00
Element x y z (fractional)
La 0.0000 0.0000 0.0000
La 0.0000 0.0000 0.2555
La 0.0000 0.0000 0.7445
Pr 0.0000 0.5000 0.1283
Pr 0.0000 0.5000 0.3853
Pr 0.0000 0.5000 0.6147
Pr 0.0000 0.5000 0.8717
Pr 0.5000 0.0000 0.1283
Pr 0.5000 0.0000 0.3853
Pr 0.5000 0.0000 0.6147
Pr 0.5000 0.0000 0.8717
Pr 0.5000 0.5000 0.0000
Pr 0.5000 0.5000 0.2579
Pr 0.5000 0.5000 0.5000
Pr 0.5000 0.5000 0.7421
Al 0.0000 0.0000 0.5000

## Properties
calculated formation energy = -15 meV/atom
total magnetization = 0.0000 μB/atom
E_tot = -4.757 eV per atom
space-group type = No. 123


A geometry-optimized TaRe4 structure. Source: the Alexandria database, functional PBE.

a b c (Å): 4.6632 4.6632 4.6632
angles (deg): 90.00 90.00 90.00
Element x y z (fractional)
Ta 0.0000 0.0000 0.0000
Re 0.0000 0.0000 0.5000
Re 0.0000 0.5000 0.0000
Re 0.5000 0.0000 0.0000
Re 0.5000 0.5000 0.5000

## Properties
calculated formation energy = 2688 meV/atom
total magnetization = 0.2625 μB/atom
E_tot = -9.641 eV per atom
space-group type = No. 221
polymorph energy (0 for the lowest one) = 2633.0 meV/atom


A geometry-optimized Hf3Sc2Fe2 structure. Source: the Alexandria database, functional PBE.

a b c (Å): 5.7528 5.7528 8.1917
angles (deg): 115.25 115.25 33.52
Element x y z (fractional)
Hf 0.0000 0.0000 0.0000
Hf 0.1183 0.1183 0.4379
Hf 0.8817 0.8817 0.5621
Sc 0.3423 0.3423 0.1898
Sc 0.6577 0.6577 0.8102
Fe 0.3266 0.3266 0.7612
Fe 0.6734 0.6734 0.2388

## Properties
calculated formation energy = -151 meV/atom
total magnetization = 0.0000 μB/atom
E_tot = -8.644 eV per atom
space-group type = No. 12
polymorph energy (0 for the lowest one) = 0.0 meV/atom